Entry 1:
VASP calculation (PBEsol) on a relaxed structure of Ta2PPt.

Cell: 5.2486 5.2486 5.2486 Å, 145.62 130.44 61.71°
Element x y z (fractional)
Ta: 0.0000 0.0000 0.0000
Ta: 0.7084 0.2084 0.5000
P: 0.2222 0.7222 0.5000
Pt: 0.4345 0.4345 0.0000

Calculated values
E = -9.967 eV per atom
DOS at the Fermi energy = 3.0 states/eV per cell
space group = Imm2 (44)
ΔH_f (0 K) = -0.503 eV per atom


Entry 2:
VASP calculation (PBEsol) on a relaxed structure of TaPPt.

Cell: 4.2393 4.2393 4.2393 Å, 60.00 60.00 60.00°
Element x y z (fractional)
Ta: 0.0000 0.0000 0.0000
P: 0.7500 0.7500 0.7500
Pt: 0.2500 0.2500 0.2500

Calculated values
E = -8.642 eV per atom
DOS at the Fermi energy = 1.8 states/eV per cell
space group = F-43m (216)
ΔH_f (0 K) = -0.207 eV per atom


Entry 3:
VASP calculation (PBEsol) on a relaxed structure of TaPPt2.

Cell: 4.8867 4.8867 4.4176 Å, 90.35 90.35 37.47°
Element x y z (fractional)
Ta: 0.0000 0.0000 0.0000
P: 0.2533 0.2533 0.1654
Pt: 0.4373 0.4373 0.5140
Pt: 0.7142 0.7142 0.7692

Calculated values
E = -8.471 eV per atom
DOS at the Fermi energy = 1.5 states/eV per cell
space group = Cm (8)
ΔH_f (0 K) = -0.404 eV per atom


Entry 4:
VASP calculation (PBEsol) on a relaxed structure of Tc2PPt.

Cell: 3.7179 3.7179 3.9724 Å, 90.00 90.00 90.00°
Element x y z (fractional)
Tc: 0.0000 0.5000 0.0000
Tc: 0.5000 0.0000 0.0000
P: 0.0000 0.0000 0.5000
Pt: 0.5000 0.5000 0.5000

Calculated values
E = -8.678 eV per atom
DOS at the Fermi energy = 4.8 states/eV per cell
space group = P4/mmm (123)
ΔH_f (0 K) = 0.144 eV per atom


Entry 5:
VASP calculation (PBEsol) on a relaxed structure of TcP3Pt.

Cell: 4.4864 4.4864 4.4864 Å, 90.00 90.00 90.00°
Element x y z (fractional)
Tc: 0.0000 0.0000 0.0000
P: 0.0000 0.0000 0.5000
P: 0.0000 0.5000 0.0000
P: 0.5000 0.0000 0.0000
Pt: 0.5000 0.5000 0.5000

Calculated values
E = -6.378 eV per atom
DOS at the Fermi energy = 3.0 states/eV per cell
space group = Pm-3m (221)
ΔH_f (0 K) = 0.743 eV per atom


Entry 6:
VASP calculation (PBEsol) on a relaxed structure of TcPPt.

Cell: 3.9496 3.9496 3.9496 Å, 60.00 60.00 60.00°
Element x y z (fractional)
Tc: 0.0000 0.0000 0.0000
P: 0.2500 0.2500 0.2500
Pt: 0.5000 0.5000 0.5000

Calculated values
E = -8.419 eV per atom
DOS at the Fermi energy = 2.0 states/eV per cell
space group = F-43m (216)
ΔH_f (0 K) = -0.412 eV per atom


Entry 7:
VASP calculation (PBEsol) on a relaxed structure of Tc3PPt.

Cell: 4.6523 4.6523 4.6523 Å, 90.00 90.00 90.00°
Element x y z (fractional)
Tc: 0.0000 0.0000 0.5000
Tc: 0.0000 0.5000 0.0000
Tc: 0.5000 0.0000 0.0000
P: 0.5000 0.5000 0.5000
Pt: 0.0000 0.0000 0.0000

Calculated values
E = -7.043 eV per atom
DOS at the Fermi energy = 7.5 states/eV per cell
space group = Pm-3m (221)
ΔH_f (0 K) = 2.267 eV per atom


Entry 8:
VASP calculation (PBEsol) on a relaxed structure of Te2PPt.

Cell: 4.7992 4.7992 4.7992 Å, 110.68 110.68 107.08°
Element x y z (fractional)
Te: 0.0000 0.5000 0.5000
Te: 0.5000 0.0000 0.5000
P: 0.0000 0.0000 0.0000
Pt: 0.5000 0.5000 0.0000

Calculated values
E_form (uncorrected) = 0.06 eV per atom
E = -4.895 eV per atom
DOS at the Fermi energy = 2.3 states/eV per cell
space group = I4/mmm (139)


Quick rundown of total magnetic moment, same order as above: 0.00; 0.00; 0.00; 0.00; 0.00; 0.00; 1.28; 0.00 μB per cell